Material: ZnHgRu2
Method: DFT, PBE-GGA
State: relaxed

The structure belongs to space group F-43m (No. 216); the cell edges are 6.314, 6.314 and 6.314 Å and the angles 90.00°, 90.00° and 90.00°. The asymmetric unit holds Zn at (0.000, 0.000, 0.000), Hg at (0.250, 0.250, 0.750), Ru at (0.000, 0.000, 0.500) and Ru at (0.250, 0.250, 0.250).

For the energy above the lowest structure with this stoichiometry, the calculation gives 315 meV per atom. The calculation puts the density of states at the Fermi level at 1.09 states/eV per atom. The energy relative to the elements is 457 meV per atom.

---

Material: Ho12CdRh6
Method: DFT, PBE-GGA
State: relaxed

The structure belongs to space group Im-3 (No. 204); the cell edges are 9.835, 9.835 and 9.835 Å and the angles 90.00°, 90.00° and 90.00°. The asymmetric unit holds Ho at (0.000, 0.300, 0.189), Cd at (0.000, 0.000, 0.000) and Rh at (0.000, 0.131, 0.500).

The calculation puts the density of states at the Fermi level at 1.06 states/eV per atom. The energy relative to the elements is -584 meV per atom.

---

Material: HfP2SCl
Method: DFT, PBE-GGA
State: relaxed

The structure belongs to space group P4/mmm (No. 123); the cell edges are 4.443, 4.443 and 4.662 Å and the angles 90.00°, 90.00° and 90.00°. The asymmetric unit holds Hf at (0.000, 0.000, 0.000), P at (0.000, 0.500, 0.500), S at (0.500, 0.500, 0.000) and Cl at (0.500, 0.500, 0.500).

For the energy above the lowest structure with this stoichiometry, the calculation gives 609 meV per atom. The calculation puts the formation energy without anion corrections at 0.78 eV/atom. The calculation puts the density of states at the Fermi level at 0.47 states/eV per atom.

---

Material: Zr3MnBe
Method: DFT, PBE-GGA
State: relaxed

The structure belongs to space group Pm-3m (No. 221); the cell edges are 4.767, 4.767 and 4.767 Å and the angles 90.00°, 90.00° and 90.00°. The asymmetric unit holds Zr at (0.000, 0.000, 0.500), Mn at (0.000, 0.000, 0.000) and Be at (0.500, 0.500, 0.500).

For the energy above the lowest structure with this stoichiometry, the calculation gives 0 meV per atom. The calculation puts the density of states at the Fermi level at 1.77 states/eV per atom. The energy relative to the elements is 645 meV per atom.

---

Material: CuTeRuO6
Method: DFT, PBE-GGA
State: relaxed

The structure belongs to space group P-31c (No. 163); the cell edges are 5.1920, 5.1920 and 8.9868 Å and the angles 90.00°, 90.00° and 120.00°. The asymmetric unit holds Cu at (0.0000, 0.0000, 0.0000), Te at (0.3333, 0.6667, 0.2500), Ru at (0.3333, 0.6667, 0.7500) and O at (0.0015, 0.3550, 0.6308).

The calculation puts the formation energy without anion corrections at -0.78 eV/atom. The calculation puts the density of states at the Fermi level at 0.68 states/eV per atom.

---

Material: Pm2NdCu6
Method: DFT, PBE-GGA
State: relaxed

The structure belongs to space group P6/mmm (No. 191); the cell edges are 7.4104, 7.4104 and 3.7306 Å and the angles 90.00°, 90.00° and 120.00°. The asymmetric unit holds Pm at (0.3333, 0.6667, 0.0000), Nd at (0.0000, 0.0000, 0.0000) and Cu at (0.0000, 0.3339, 0.5000).

For the energy above the lowest structure with this stoichiometry, the calculation gives 0 meV per atom. The calculation puts the density of states at the Fermi level at 0.38 states/eV per atom. The energy relative to the elements is -225 meV per atom.

---

Material: NbTeHSe
Method: DFT, PBE-GGA
State: relaxed

The structure belongs to space group Cm (No. 8); the cell edges are 6.097, 3.527 and 7.612 Å and the angles 90.00°, 105.53° and 90.00°. The asymmetric unit holds Nb at (0.000, 0.000, 0.000), Te at (0.258, 0.500, 0.273), H at (0.338, 0.000, 0.014) and Se at (0.088, 0.500, 0.765).

Its final energy is -45.013 eV per cell.

---

Material: CrW4
Method: DFT, PBE-GGA
State: relaxed

The structure belongs to space group I4/m (No. 87); the cell edges are 7.003, 7.003 and 3.133 Å and the angles 90.00°, 90.00° and 90.00°. The asymmetric unit holds Cr at (0.000, 0.000, 0.000) and W at (0.099, 0.296, 0.500).

For the energy above the lowest structure with this stoichiometry, the calculation gives 0 meV per atom. The calculation puts the density of states at the Fermi level at 0.61 states/eV per atom. The energy relative to the elements is 48 meV per atom.

---

Material: ScPd3Au2
Method: DFT, PBE-GGA
State: relaxed

The structure belongs to space group Cmmm (No. 65); the cell edges are 4.086, 12.426 and 3.957 Å and the angles 90.00°, 90.00° and 90.00°. The asymmetric unit holds Sc at (0.000, 0.000, 0.000), Pd at (0.000, 0.165, 0.500), Pd at (0.000, 0.500, 0.500) and Au at (0.000, 0.336, 0.000).

For the energy above the lowest structure with this stoichiometry, the calculation gives 0 meV per atom. The calculation puts the density of states at the Fermi level at 0.42 states/eV per atom. The energy relative to the elements is -610 meV per atom.

---

Material: CaMgRh4
Method: DFT, PBE-GGA
State: relaxed

The structure belongs to space group F-43m (No. 216); the cell edges are 7.448, 7.448 and 7.448 Å and the angles 90.00°, 90.00° and 90.00°. The asymmetric unit holds Ca at (0.000, 0.000, 0.000), Mg at (0.250, 0.250, 0.750) and Rh at (0.125, 0.125, 0.375).

The calculation puts the density of states at the Fermi level at 1.45 states/eV per atom. The energy relative to the elements is -321 meV per atom.

---

Material: Tb7PmY4
Method: DFT, PBE-GGA
State: relaxed

The structure belongs to space group P-1 (No. 2); the cell edges are 6.238, 7.203 and 8.875 Å and the angles 90.01°, 103.53° and 90.04°. The asymmetric unit holds Tb at (0.000, 0.000, 0.000), Tb at (0.222, 0.500, 0.666), Tb at (0.277, 0.250, 0.334), Tb at (0.499, 0.250, 0.001), Pm at (0.000, 0.500, 0.000), Y at (0.222, 0.000, 0.666) and Y at (0.280, 0.750, 0.335).

For the energy above the lowest structure with this stoichiometry, the calculation gives 0 meV per atom. The calculation puts the density of states at the Fermi level at 1.32 states/eV per atom. The energy relative to the elements is -2 meV per atom.

---

Material: SrLi2CdGa
Method: DFT, PBE-GGA
State: relaxed

The structure belongs to space group P4/mmm (No. 123); the cell edges are 5.048, 5.048 and 5.243 Å and the angles 90.00°, 90.00° and 90.00°. The asymmetric unit holds Sr at (0.000, 0.000, 0.000), Li at (0.000, 0.500, 0.500), Cd at (0.500, 0.500, 0.000) and Ga at (0.500, 0.500, 0.500).

The calculation puts the density of states at the Fermi level at 0.48 states/eV per atom. The energy relative to the elements is -124 meV per atom.

---

Material: Tb4PmPr5
Method: DFT, PBE-GGA
State: relaxed

The structure belongs to space group C2/m (No. 12); the cell edges are 18.444, 3.623 and 10.661 Å and the angles 90.00°, 96.14° and 90.00°. The asymmetric unit holds Tb at (0.046, 0.000, 0.261), Tb at (0.183, 0.500, 0.412), Pm at (0.000, 0.500, 0.500), Pr at (0.000, 0.500, 0.000), Pr at (0.142, 0.000, 0.731) and Pr at (0.190, 0.000, 0.099).

For the energy above the lowest structure with this stoichiometry, the calculation gives 129 meV per atom. The calculation puts the density of states at the Fermi level at 1.57 states/eV per atom. The energy relative to the elements is 142 meV per atom.

---

Material: Y2MgPt
Method: DFT, PBE-GGA
State: relaxed

The structure belongs to space group Imm2 (No. 44); the cell edges are 3.546, 5.018 and 11.096 Å and the angles 90.00°, 90.00° and 90.00°. The asymmetric unit holds Y at (0.000, 0.000, 0.000), Y at (0.000, 0.500, 0.205), Mg at (0.000, 0.000, 0.400) and Pt at (0.000, 0.500, 0.705).

The calculation puts the density of states at the Fermi level at 0.85 states/eV per atom. The energy relative to the elements is -597 meV per atom.

---

Material: CuP2PbO8
Method: DFT, PBE-GGA
State: relaxed

The structure belongs to space group R-3 (No. 148, hexagonal axes); the cell edges are 4.7600, 4.7600 and 22.3804 Å and the angles 90.00°, 90.00° and 120.00°. The asymmetric unit holds Cu at (0.0000, 0.0000, 0.0000), P at (0.0000, 0.0000, 0.2602), Pb at (0.0000, 0.0000, 0.5000), O at (0.0000, 0.0000, 0.1908) and O at (0.0116, 0.3635, 0.3867).

The calculation puts the formation energy without anion corrections at -1.48 eV/atom. The calculation puts the density of states at the Fermi level at 0.40 states/eV per atom.

---

Material: TiMnZnFe
Method: DFT, PBE-GGA
State: relaxed

The structure belongs to space group Imm2 (No. 44); the cell edges are 3.324, 3.877 and 8.270 Å and the angles 90.00°, 90.00° and 90.00°. The asymmetric unit holds Ti at (0.000, 0.000, 0.000), Mn at (0.000, 0.500, 0.248), Zn at (0.000, 0.500, 0.761) and Fe at (0.000, 0.000, 0.509).

For the energy above the lowest structure with this stoichiometry, the calculation gives 35 meV per atom. The calculation puts the density of states at the Fermi level at 0.66 states/eV per atom. The energy relative to the elements is -85 meV per atom.

---

Material: TlGaAgPt
Method: DFT, PBE-GGA
State: relaxed

The structure belongs to space group Cm (No. 8); the cell edges are 6.617, 3.778 and 6.777 Å and the angles 90.00°, 90.22° and 90.00°. The asymmetric unit holds Tl at (0.000, 0.000, 0.000), Ga at (0.337, 0.000, 0.453), Ag at (0.168, 0.500, 0.702) and Pt at (0.168, 0.500, 0.278).

For the energy above the lowest structure with this stoichiometry, the calculation gives 33 meV per atom. The calculation puts the density of states at the Fermi level at 0.27 states/eV per atom. The energy relative to the elements is -132 meV per atom.

---

Material: NaPa2Sn9
Method: DFT, PBE-GGA
State: relaxed

The structure belongs to space group P4/mmm (No. 123); the cell edges are 4.646, 4.646 and 14.227 Å and the angles 90.00°, 90.00° and 90.00°. The asymmetric unit holds Na at (0.000, 0.000, 0.000), Pa at (0.000, 0.000, 0.341), Sn at (0.000, 0.500, 0.169), Sn at (0.000, 0.500, 0.500), Sn at (0.500, 0.500, 0.000) and Sn at (0.500, 0.500, 0.335).

The calculation puts the density of states at the Fermi level at 0.83 states/eV per atom. The energy relative to the elements is -218 meV per atom.

---

Material: Er4TlSe2
Method: DFT, PBE-GGA
State: relaxed

The structure belongs to space group R-3m (No. 166, hexagonal axes); the cell edges are 3.8531, 3.8531 and 43.4154 Å and the angles 90.00°, 90.00° and 120.00°. The asymmetric unit holds Er at (0.0000, 0.0000, 0.1351), Er at (0.0000, 0.0000, 0.2809), Tl at (0.0000, 0.0000, 0.0000) and Se at (0.0000, 0.0000, 0.4258).

For the energy above the lowest structure with this stoichiometry, the calculation gives 0 meV per atom. The calculation puts the formation energy without anion corrections at -1.05 eV/atom. The calculation puts the density of states at the Fermi level at 0.82 states/eV per atom.

---

Material: Rb2S2O7
Method: DFT, PBE-GGA
State: relaxed

The structure belongs to space group C2/m (No. 12); the cell edges are 7.789, 10.560 and 5.204 Å and the angles 90.00°, 97.15° and 90.00°. The asymmetric unit holds Rb at (0.000, 0.199, 0.000), S at (0.200, 0.500, 0.441), O at (0.000, 0.500, 0.500), O at (0.198, 0.000, 0.304) and O at (0.217, 0.384, 0.294).

For the energy above the lowest structure with this stoichiometry, the calculation gives 67 meV per atom. The calculation puts the formation energy without anion corrections at -1.61 eV/atom. The calculation puts the density of states at the Fermi level at 0.00 states/eV per atom.

---

Material: Si3Os4
Method: DFT, PBE-GGA
State: relaxed

The structure belongs to space group P6/mmm (No. 191); the cell edges are 4.5042, 4.5042 and 5.4637 Å and the angles 90.00°, 90.00° and 120.00°. The asymmetric unit holds Si at (0.0000, 0.5000, 0.0000), Os at (0.0000, 0.0000, 0.2677) and Os at (0.3333, 0.6667, 0.5000).

For the energy above the lowest structure with this stoichiometry, the calculation gives 598 meV per atom. The calculation puts the formation energy without anion corrections at 0.52 eV/atom. The calculation puts the density of states at the Fermi level at 0.63 states/eV per atom.

---

Material: MgGaH3
Method: DFT, PBE-GGA
State: relaxed

The structure belongs to space group Pm-3m (No. 221); the cell edges are 3.883, 3.883 and 3.883 Å and the angles 90.00°, 90.00° and 90.00°. The asymmetric unit holds Mg at (0.000, 0.000, 0.000), Ga at (0.500, 0.500, 0.500) and H at (0.000, 0.000, 0.500).

For the energy above the lowest structure with this stoichiometry, the calculation gives 0 meV per atom. The calculation puts the density of states at the Fermi level at 0.00 states/eV per atom.

---

Material: Pa4Ge3Te
Method: DFT, PBE-GGA
State: relaxed

The structure belongs to space group C2/m (No. 12); the cell edges are 10.481, 10.479 and 3.336 Å and the angles 90.00°, 90.29° and 90.00°. The asymmetric unit holds Pa at (0.000, 0.242, 0.000), Pa at (0.242, 0.000, 0.997), Ge at (0.000, 0.000, 0.500), Ge at (0.250, 0.250, 0.500) and Te at (0.000, 0.500, 0.500).

The calculation puts the formation energy without anion corrections at -0.41 eV/atom. The calculation puts the density of states at the Fermi level at 1.84 states/eV per atom.

---

Material: HoLuOs4
Method: DFT, PBE-GGA
State: relaxed

The structure belongs to space group F-43m (No. 216); the cell edges are 7.532, 7.532 and 7.532 Å and the angles 90.00°, 90.00° and 90.00°. The asymmetric unit holds Ho at (0.000, 0.000, 0.000), Lu at (0.250, 0.250, 0.750) and Os at (0.125, 0.125, 0.375).

The calculation puts the density of states at the Fermi level at 0.94 states/eV per atom. The energy relative to the elements is -314 meV per atom.